(1)
The following is a DFT calculation (PBE) of a relaxed Li3Ac2AlSn4 crystal.

Structure (POSCAR):
```
Li3Ac2AlSn4
1.0
-2.104 3.677 1.868
1.827 -1.048 4.122
9.217 6.509 -2.430
Sn Li Ac Al
4 3 2 1
direct
0.000 0.000 0.000
0.500 0.000 0.640
0.000 0.500 0.360
0.500 0.500 0.000
0.000 0.000 0.500
0.000 0.500 0.130
0.500 0.000 0.870
0.500 0.000 0.245
0.000 0.500 0.755
0.500 0.500 0.500
```

Output
spin magnetization	0.00	μB per formula unit
DOS at the Fermi energy	0.176	states/eV per atom
E_form	-0.567	eV/atom


(2)
The following is a DFT calculation (PBE) of a relaxed NpGaAuO6 crystal.

Structure (POSCAR):
```
NpGaAuO6
1.0
5.344 0.000 0.000
-2.672 4.628 0.000
0.000 0.000 9.492
O Np Au Ga
12 2 2 2
direct
0.004 0.645 0.364
0.355 0.359 0.364
0.359 0.004 0.636
0.004 0.359 0.136
0.645 0.641 0.636
0.355 0.996 0.136
0.641 0.645 0.136
0.996 0.355 0.636
0.641 0.996 0.364
0.996 0.641 0.864
0.645 0.004 0.864
0.359 0.355 0.864
0.333 0.667 0.750
0.667 0.333 0.250
0.000 0.000 0.000
0.000 0.000 0.500
0.333 0.667 0.250
0.667 0.333 0.750
```

Output
formation energy (no corrections)	-13.672	eV/f.u.
spin magnetization	0.93	μB per formula unit
DOS at the Fermi energy	0.581	states/eV per atom


(3)
The following is a DFT calculation (PBE) of a relaxed Cd3SnRu crystal.

Structure (POSCAR):
```
Cd3SnRu
1.0
5.163 0.000 0.000
0.000 5.163 0.000
0.000 0.000 5.163
Ru Cd Sn
1 3 1
direct
0.000 0.000 0.000
0.000 0.500 0.000
0.000 0.000 0.500
0.500 0.000 0.000
0.500 0.500 0.500
```

Output
spin magnetization	0.00	μB per formula unit
DOS at the Fermi energy	0.720	states/eV per atom
polymorph energy (0 for the lowest one)	0.0000	eV per atom
E_form	0.583	eV/atom


(4)
The following is a DFT calculation (PBE) of a relaxed NaCu2RhF8 crystal.

Structure (POSCAR):
```
NaCu2RhF8
1.0
5.149 0.000 0.000
0.000 5.149 0.000
-2.574 -2.574 5.297
F Rh Na Cu
8 1 1 2
direct
0.951 0.388 0.280
0.612 0.670 0.720
0.812 0.857 0.182
0.143 0.629 0.818
0.330 0.892 0.280
0.371 0.325 0.182
0.675 0.188 0.818
0.108 0.049 0.720
0.000 0.000 0.000
0.750 0.250 0.500
0.250 0.750 0.500
0.500 0.500 0.000
```

Output
formation energy (no corrections)	-18.497	eV/f.u.
spin magnetization	0.01	μB per formula unit
DOS at the Fermi energy	0.515	states/eV per atom


(5)
The following is a DFT calculation (PBE) of a relaxed Be2CdCu2 crystal.

Structure (POSCAR):
```
Be2CdCu2
1.0
3.203 0.000 0.000
0.000 3.203 0.000
1.602 1.602 6.262
Cu Cd Be
2 1 2
direct
0.382 0.382 0.237
0.618 0.618 0.763
0.000 0.000 0.000
0.750 0.250 0.500
0.250 0.750 0.500
```

Output
spin magnetization	0.00	μB per formula unit
DOS at the Fermi energy	0.261	states/eV per atom
polymorph energy (0 for the lowest one)	0.1266	eV per atom
E_form	0.171	eV/atom


(6)
The following is a DFT calculation (PBE) of a relaxed AcSm2 crystal.

Structure (POSCAR):
```
AcSm2
1.0
-6.864 3.033 -6.578
4.332 1.556 -6.056
-2.827 -6.482 1.089
Sm Ac
8 4
direct
0.649 0.553 0.991
0.096 0.194 0.500
0.649 0.062 0.009
0.326 0.893 0.006
0.326 0.387 0.994
0.761 0.527 0.500
0.759 0.031 0.500
0.435 0.361 0.500
0.102 0.686 0.500
0.981 0.220 0.996
0.435 0.861 0.500
0.981 0.724 0.004
```

Output
spin magnetization	0.00	μB per formula unit
DOS at the Fermi energy	1.716	states/eV per atom
polymorph energy (0 for the lowest one)	0.0134	eV per atom
E_form	0.054	eV/atom


(7)
The following is a DFT calculation (PBE) of a relaxed Li3In2Ag4Pb2 crystal.

Structure (POSCAR):
```
Li3In2Ag4Pb2
1.0
-1.695 -0.840 -4.373
4.646 0.847 0.633
1.940 -11.761 1.506
Ag In Pb Li
4 2 2 3
direct
0.333 0.667 0.806
0.667 0.333 0.194
0.333 0.667 0.337
0.667 0.333 0.663
0.667 0.333 0.427
0.333 0.667 0.573
0.667 0.333 0.910
0.333 0.667 0.090
0.000 0.000 0.274
0.000 0.000 0.726
0.000 0.000 0.000
```

Output
spin magnetization	0.00	μB per formula unit
DOS at the Fermi energy	0.300	states/eV per atom
E_form	-0.110	eV/atom


(8)
The following is a DFT calculation (PBE) of a relaxed Nd3SiAg crystal.

Structure (POSCAR):
```
Nd3SiAg
1.0
4.426 -0.001 0.000
-2.215 6.592 0.350
-0.002 0.150 9.444
Nd Ag Si
6 2 2
direct
0.259 0.551 0.041
0.434 0.902 0.595
0.075 0.183 0.376
0.785 0.603 0.381
0.969 0.971 0.046
0.610 0.252 0.826
0.839 0.710 0.783
0.206 0.444 0.638
0.431 0.895 0.269
0.613 0.259 0.152
```

Output
formation energy (no corrections)	-1.606	eV/f.u.
spin magnetization	0.00	μB per formula unit
DOS at the Fermi energy	1.000	states/eV per atom